[1]
A plane-wave DFT calculation with PBE-GGA was carried out for crystalline NaPr2OsO6 at its relaxed geometry.

The calculated volume comes out at 272.1 Å³ per cell. The raw formation energy is -2.317 eV per atom.

It has space group P2_1/c (No. 14), with a = 5.601 Å, b = 6.011 Å, c = 9.757 Å, α = 90.00°, β = 124.10° and γ = 90.00°. Symmetry generates all atoms from Na at (0.000, 0.000, 0.000), Pr at (0.225, 0.070, 0.747), Os at (0.500, 0.000, 0.500), O at (0.157, 0.174, 0.448), O at (0.266, 0.720, 0.431) and O at (0.390, 0.051, 0.270).

[2]
A plane-wave DFT calculation with PBE-GGA was carried out for crystalline Na2OsPtO6 at its relaxed geometry.

The calculated volume comes out at 125.9 Å³ per cell. The raw formation energy is -0.887 eV per atom.

It has space group P4mm (No. 99), with a = 5.515 Å, b = 5.515 Å, c = 4.138 Å, α = 90.00°, β = 90.00° and γ = 90.00°. Symmetry generates all atoms from Na at (0.000, 0.500, 0.000), Os at (0.000, 0.000, 0.524), Pt at (0.500, 0.500, 0.554), O at (0.000, 0.000, 0.083), O at (0.237, 0.237, 0.604) and O at (0.500, 0.500, 0.065).

[3]
A plane-wave DFT calculation with PBE-GGA was carried out for crystalline NaPuOsO6 at its relaxed geometry.

The calculated volume comes out at 261.4 Å³ per cell. The raw formation energy is -1.792 eV per atom.

It has space group P-31c (No. 163), with a = 5.4438 Å, b = 5.4438 Å, c = 10.1863 Å, α = 90.00°, β = 90.00° and γ = 120.00°. Symmetry generates all atoms from Na at (0.0000, 0.0000, 0.0000), Pu at (0.3333, 0.6667, 0.2500), Os at (0.3333, 0.6667, 0.7500) and O at (0.0272, 0.3794, 0.6446).

[4]
A plane-wave DFT calculation with PBE-GGA was carried out for crystalline Na2PuOsO5 at its relaxed geometry.

The calculated volume comes out at 228.6 Å³ per cell. The raw formation energy is -1.411 eV per atom.

It has space group P4/mbm (No. 127), with a = 6.365 Å, b = 6.365 Å, c = 5.642 Å, α = 90.00°, β = 90.00° and γ = 90.00°. Symmetry generates all atoms from Na at (0.167, 0.333, 0.000), Pu at (0.000, 0.000, 0.500), Os at (0.000, 0.500, 0.500), O at (0.000, 0.000, 0.000) and O at (0.153, 0.653, 0.278).

[5]
A plane-wave DFT calculation with PBE-GGA was carried out for crystalline Na2PuOsO6 at its relaxed geometry.

The calculated volume comes out at 133.7 Å³ per cell. The raw formation energy is -1.820 eV per atom.

It has space group P4mm (No. 99), with a = 5.762 Å, b = 5.762 Å, c = 4.026 Å, α = 90.00°, β = 90.00° and γ = 90.00°. Symmetry generates all atoms from Na at (0.000, 0.500, 0.000), Pu at (0.000, 0.000, 0.501), Os at (0.500, 0.500, 0.502), O at (0.000, 0.000, 0.002), O at (0.259, 0.259, 0.502) and O at (0.500, 0.500, 0.002).

[6]
A plane-wave DFT calculation with PBE-GGA was carried out for crystalline RbNaOs2O8 at its relaxed geometry.

The calculated volume comes out at 254.6 Å³ per cell. The raw formation energy is -1.240 eV per atom.

It has space group P-3 (No. 147), with a = 6.0778 Å, b = 6.0778 Å, c = 7.9586 Å, α = 90.00°, β = 90.00° and γ = 120.00°. Symmetry generates all atoms from Rb at (0.0000, 0.0000, 0.0000), Na at (0.0000, 0.0000, 0.5000), Os at (0.3333, 0.6667, 0.7625), O at (0.1675, 0.8191, 0.6928) and O at (0.3333, 0.6667, 0.9844).

[7]
A plane-wave DFT calculation with PBE-GGA was carried out for crystalline Rb3Na2OsO6 at its relaxed geometry.

The calculated volume comes out at 392.4 Å³ per cell. The raw formation energy is -1.335 eV per atom.

It has space group C2/m (No. 12), with a = 6.057 Å, b = 10.493 Å, c = 6.479 Å, α = 90.00°, β = 107.61° and γ = 90.00°. Symmetry generates all atoms from Rb at (0.000, 0.000, 0.000), Rb at (0.000, 0.325, 0.000), Na at (0.000, 0.166, 0.500), Os at (0.000, 0.500, 0.500), O at (0.192, 0.369, 0.675) and O at (0.200, 0.500, 0.317).

[8]
A plane-wave DFT calculation with PBE-GGA was carried out for crystalline Rb3NaOs2O9 at its relaxed geometry.

The calculated volume comes out at 217.2 Å³ per cell. The raw formation energy is -1.317 eV per atom.

It has space group P-3m1 (No. 164), with a = 5.8237 Å, b = 5.8237 Å, c = 7.3937 Å, α = 90.00°, β = 90.00° and γ = 120.00°. Symmetry generates all atoms from Rb at (0.0000, 0.0000, 0.0000), Rb at (0.3333, 0.6667, 0.6569), Na at (0.0000, 0.0000, 0.5000), Os at (0.3333, 0.6667, 0.1580), O at (0.0000, 0.5000, 0.0000) and O at (0.1824, 0.3649, 0.2936).

[9]
A plane-wave DFT calculation with PBE-GGA was carried out for crystalline Rb2Na3OsO6 at its relaxed geometry.

The calculated volume comes out at 399.6 Å³ per cell. The raw formation energy is -1.345 eV per atom.

It has space group C2/m (No. 12), with a = 6.352 Å, b = 11.863 Å, c = 5.724 Å, α = 90.00°, β = 112.12° and γ = 90.00°. Symmetry generates all atoms from Rb at (0.000, 0.175, 0.000), Na at (0.000, 0.000, 0.500), Na at (0.000, 0.374, 0.500), Os at (0.000, 0.500, 0.000), O at (0.187, 0.386, 0.224) and O at (0.193, 0.500, 0.811).

[10]
A plane-wave DFT calculation with PBE-GGA was carried out for crystalline Rb2NaOs2O7 at its relaxed geometry.

The calculated volume comes out at 341.9 Å³ per cell. The raw formation energy is -1.258 eV per atom.

It has space group I4/mmm (No. 139), with a = 3.926 Å, b = 3.926 Å, c = 22.179 Å, α = 90.00°, β = 90.00° and γ = 90.00°. Symmetry generates all atoms from Rb at (0.000, 0.000, 0.188), Na at (0.000, 0.000, 0.000), Os at (0.000, 0.000, 0.413), O at (0.000, 0.000, 0.328), O at (0.000, 0.000, 0.500) and O at (0.000, 0.500, 0.085).

[11]
A plane-wave DFT calculation with PBE-GGA was carried out for crystalline Rb2NaOsO4 at its relaxed geometry.

The calculated volume comes out at 1633.1 Å³ per cell. The raw formation energy is -1.174 eV per atom.

It has space group Fddd (No. 70, origin choice 2), with a = 6.074 Å, b = 13.520 Å, c = 19.887 Å, α = 90.00°, β = 90.00° and γ = 90.00°. Symmetry generates all atoms from Rb at (0.125, 0.125, 0.304), Na at (0.125, 0.125, 0.125), Os at (0.125, 0.125, 0.625) and O at (0.086, 0.278, 0.859).

[12]
A plane-wave DFT calculation with PBE-GGA was carried out for crystalline Na2ReOsO6 at its relaxed geometry.

The calculated volume comes out at 117.3 Å³ per cell. The raw formation energy is -1.445 eV per atom.

It has space group P4/mmm (No. 123), with a = 5.482 Å, b = 5.482 Å, c = 3.902 Å, α = 90.00°, β = 90.00° and γ = 90.00°. Symmetry generates all atoms from Na at (0.000, 0.500, 0.000), Re at (0.000, 0.000, 0.500), Os at (0.500, 0.500, 0.500), O at (0.000, 0.000, 0.000), O at (0.247, 0.247, 0.500) and O at (0.500, 0.500, 0.000).

> Which formula does entry 10 have?

Rb2NaOs2O7

> Which of these has the highest calculated volume?

Rb2NaOsO4

> Among the records above, which one has the lowest raw formation energy?

NaPr2OsO6

> Among the records above, which one has the highest raw formation energy?

Na2OsPtO6